{"formula": "RbVAgO4", "functional": "PBE+U", "state": "optimized geometry", "lattice": [[-3.866, -2.317, -3.773], [-3.358, -2.407, 4.918], [-2.425, 6.757, 1.651]], "species": ["O", "O", "O", "O", "O", "O", "O", "O", "Ag", "Ag", "Rb", "Rb", "V", "V"], "frac_coords": [[0.939, 0.461, 0.674], [0.061, 0.539, 0.326], [0.939, 0.039, 0.674], [0.496, 0.250, 0.466], [0.061, 0.961, 0.326], [0.357, 0.750, 0.132], [0.643, 0.250, 0.868], [0.504, 0.750, 0.534], [0.105, 0.250, 0.500], [0.895, 0.750, 0.500], [0.284, 0.250, 0.058], [0.716, 0.750, 0.942], [0.270, 0.750, 0.333], [0.730, 0.250, 0.667]], "volume_a3_per_cell": 266.28, "dos_ef_per_ev_atom": 0.581, "energy_ev_per_atom": -5.76, "m_tot_mub_per_cell": 0.0}